Entry 1:
Density functional theory data (GGA+U) for LaZr2CrF after structural relaxation. Values from VASP.

Values from the calculation:
Its calculated total energy is -5.7832 eV/atom. The total moment is 0.04 μB/atom.

Quantum ESPRESSO input file:
```
&SYSTEM
  ibrav = 0, nat = 5, ntyp = 4
/
ATOMIC_SPECIES
Cr 52.00 Cr.upf
F 19.00 F.upf
Zr 91.22 Zr.upf
La 138.91 La.upf
ATOMIC_POSITIONS angstrom
Cr 0.000 0.000 0.000
F 2.406 2.406 3.093
Zr 2.406 0.000 0.000
La 0.000 0.000 3.093
Zr 0.000 2.406 0.000
CELL_PARAMETERS angstrom
4.812 0.000 0.000
0.000 4.812 0.000
0.000 0.000 6.185
```

---

Entry 2:
Density functional theory data (GGA+U) for Li2CrF after structural relaxation. Values from VASP.

Values from the calculation:
For the excess energy over the best structure of this formula in the dataset, the calculation gives 611 meV per atom. The total moment is 1.27 μB/atom.

Quantum ESPRESSO input file:
```
&SYSTEM
  ibrav = 0, nat = 4, ntyp = 3
/
ATOMIC_SPECIES
Li 6.94 Li.upf
F 19.00 F.upf
Cr 52.00 Cr.upf
ATOMIC_POSITIONS angstrom
Li 1.617 1.617 1.617
F 0.000 0.000 0.000
Cr 3.233 3.233 3.233
Li 4.850 4.850 4.850
CELL_PARAMETERS angstrom
0.000 3.233 3.233
3.233 0.000 3.233
3.233 3.233 0.000
```

---

Entry 3:
Density functional theory data (GGA+U) for Li6CrF12 after structural relaxation. Values from VASP.

Values from the calculation:
Its calculated total energy is -4.6323 eV/atom. The total moment is 0.00 μB/atom.

Quantum ESPRESSO input file:
```
&SYSTEM
  ibrav = 0, nat = 19, ntyp = 3
/
ATOMIC_SPECIES
Li 6.94 Li.upf
F 19.00 F.upf
Cr 52.00 Cr.upf
ATOMIC_POSITIONS angstrom
Li 1.513 -0.392 3.538
F 4.186 -3.756 -0.217
Li 3.386 -2.619 3.904
F 4.517 2.968 1.570
Li 2.809 -2.450 1.034
F 2.461 -4.636 3.411
Li 4.169 0.783 3.947
Li 5.465 -1.275 1.443
Li 3.592 0.952 1.077
F 1.820 -2.131 2.696
Cr 0.000 0.000 0.000
F 3.208 -0.793 4.595
F 2.556 1.059 2.733
F 2.792 2.089 5.199
F 5.158 0.464 2.285
F 6.243 -0.200 -0.403
F 0.735 -1.467 5.384
F 3.770 -0.874 0.386
F 4.422 -2.726 2.248
CELL_PARAMETERS angstrom
-0.782 -2.439 5.384
4.195 -3.726 -2.018
3.566 4.497 1.615
```

---

Entry 4:
Density functional theory data (GGA+U) for Li2CrF4 after structural relaxation. Values from VASP.

Values from the calculation:
For the excess energy over the best structure of this formula in the dataset, the calculation gives 0 meV per atom. The total moment is 0.57 μB/atom.

Quantum ESPRESSO input file:
```
&SYSTEM
  ibrav = 0, nat = 7, ntyp = 3
/
ATOMIC_SPECIES
Li 6.94 Li.upf
F 19.00 F.upf
Cr 52.00 Cr.upf
ATOMIC_POSITIONS angstrom
Li 1.795 3.302 -0.581
F 0.022 4.161 -0.422
F 0.809 2.385 3.676
F 2.648 -0.351 3.529
Cr 0.000 0.000 0.000
F 1.861 1.426 -0.569
Li 0.875 0.508 3.688
CELL_PARAMETERS angstrom
3.338 0.070 -0.893
-0.393 4.488 -2.385
-0.275 -0.747 6.384
```

---

Entry 5:
Density functional theory data (GGA+U) for Li3CrF6 after structural relaxation. Values from VASP.

Values from the calculation:
For the excess energy over the best structure of this formula in the dataset, the calculation gives 0 meV per atom. The total moment is 0.30 μB/atom.

Quantum ESPRESSO input file:
```
&SYSTEM
  ibrav = 0, nat = 60, ntyp = 3
/
ATOMIC_SPECIES
F 19.00 F.upf
Li 6.94 Li.upf
Cr 52.00 Cr.upf
ATOMIC_POSITIONS angstrom
F 3.690 2.000 6.743
F 4.478 6.135 9.571
F 8.809 1.809 0.646
F 3.136 2.081 1.655
F 7.152 0.818 4.483
Li 3.282 4.053 0.533
Li 7.791 6.749 4.596
Li 9.790 2.271 2.355
Cr 0.372 0.223 5.088
F 7.364 4.294 0.687
F 4.180 5.914 4.437
Li 10.053 7.474 9.511
F 9.984 4.301 1.164
F 7.640 4.678 5.776
F 4.513 4.348 2.015
Li 3.496 5.673 7.861
F 3.303 3.644 9.053
Li 6.683 2.468 0.390
Li 7.007 7.772 7.443
F 12.125 7.296 6.827
F 6.135 7.126 5.734
F 5.727 6.839 0.691
Li 5.068 6.184 2.564
F 7.401 6.058 8.229
F 5.647 3.267 4.441
Li 7.578 3.003 4.738
F 4.820 4.515 7.076
F 8.467 3.430 3.141
Li 5.709 4.942 5.479
F 1.493 0.939 8.477
F 4.401 0.962 3.965
F 4.631 1.189 9.105
F 11.794 7.006 1.739
F 9.597 5.944 3.474
F 1.161 0.648 3.389
F 5.886 1.887 1.988
Cr 0.000 0.000 0.000
Cr 4.825 2.867 8.106
F 8.773 3.596 8.202
F 2.867 3.294 4.017
Li 5.496 1.195 5.621
Li 3.234 0.470 0.706
F 6.339 2.141 7.103
F 9.107 2.031 5.779
F 6.948 5.804 3.114
Li 2.317 2.849 5.794
F 5.923 3.651 9.529
F 8.886 6.982 6.252
Li 6.604 5.477 9.826
F 7.560 1.106 9.525
F 8.656 6.756 1.112
Li 10.005 3.892 9.684
F 10.420 4.650 6.200
Li 6.280 0.172 2.773
Li 10.970 5.095 4.423
Cr 4.437 2.671 3.018
F 10.150 5.863 8.562
Li 8.219 1.760 7.652
Cr 8.850 5.274 7.199
Cr 8.462 5.077 2.111
CELL_PARAMETERS angstrom
8.519 -0.010 0.020
4.023 7.509 0.020
0.745 0.445 10.176
```

---

Entry 6:
Density functional theory data (GGA+U) for Li2Cr3F8 after structural relaxation. Values from VASP.

Values from the calculation:
Its calculated total energy is -5.8173 eV/atom. The total moment is 0.92 μB/atom.

Quantum ESPRESSO input file:
```
&SYSTEM
  ibrav = 0, nat = 26, ntyp = 3
/
ATOMIC_SPECIES
F 19.00 F.upf
Cr 52.00 Cr.upf
Li 6.94 Li.upf
ATOMIC_POSITIONS angstrom
F 3.274 0.256 6.373
F 0.444 5.960 2.272
Cr 0.000 0.000 0.000
F 3.646 3.219 6.327
Li 0.240 4.576 7.715
F 1.915 1.489 8.509
F 3.426 3.184 2.004
F 1.931 4.703 4.166
F -1.552 4.542 4.186
Li 3.477 1.640 0.930
Cr 1.869 1.811 6.537
Cr 3.355 0.186 4.323
Cr 1.849 4.405 2.108
F -2.911 5.774 2.051
Cr -1.506 4.219 2.215
F -1.424 4.517 0.157
F 1.803 4.728 0.136
F 5.141 1.700 8.488
Li 0.123 1.454 3.392
F 0.071 2.998 2.318
F 5.269 1.675 4.459
F 0.292 3.033 6.641
F 1.786 1.514 4.480
F 6.629 0.442 6.595
Li 3.595 4.762 5.253
Cr 5.223 1.998 6.430
CELL_PARAMETERS angstrom
6.710 0.372 0.000
-2.992 5.844 0.000
0.000 0.000 8.645
```

---

Entry 7:
Density functional theory data (GGA+U) for Li3CrF6 after structural relaxation. Values from VASP.

Values from the calculation:
For the excess energy over the best structure of this formula in the dataset, the calculation gives 200 meV per atom. The total moment is 0.30 μB/atom.

Quantum ESPRESSO input file:
```
&SYSTEM
  ibrav = 0, nat = 10, ntyp = 3
/
ATOMIC_SPECIES
F 19.00 F.upf
Li 6.94 Li.upf
Cr 52.00 Cr.upf
ATOMIC_POSITIONS angstrom
F 3.872 3.872 5.825
F 5.825 3.872 3.872
Li 3.872 3.872 3.872
F 3.872 5.825 3.872
Li 5.808 5.808 5.808
Li 1.936 1.936 1.936
Cr 0.000 0.000 0.000
F 3.872 3.872 1.919
F 3.872 1.919 3.872
F 1.919 3.872 3.872
CELL_PARAMETERS angstrom
0.000 3.872 3.872
3.872 0.000 3.872
3.872 3.872 0.000
```

---

Entry 8:
Density functional theory data (GGA+U) for Li3CrF after structural relaxation. Values from VASP.

Values from the calculation:
For the excess energy over the best structure of this formula in the dataset, the calculation gives 943 meV per atom. The total moment is 1.18 μB/atom.

Quantum ESPRESSO input file:
```
&SYSTEM
  ibrav = 0, nat = 5, ntyp = 3
/
ATOMIC_SPECIES
Li 6.94 Li.upf
F 19.00 F.upf
Cr 52.00 Cr.upf
ATOMIC_POSITIONS angstrom
Li 0.000 0.000 2.582
Li 0.000 2.582 0.000
F 2.582 2.582 2.582
Li 2.582 0.000 0.000
Cr 0.000 0.000 0.000
CELL_PARAMETERS angstrom
5.163 0.000 0.000
0.000 5.163 0.000
0.000 0.000 5.163
```

---

Entry 9:
Density functional theory data (GGA+U) for Li3Cr5F12 after structural relaxation. Values from VASP.

Values from the calculation:
Its calculated total energy is -5.6792 eV/atom. The total moment is 1.05 μB/atom.

Quantum ESPRESSO input file:
```
&SYSTEM
  ibrav = 0, nat = 80, ntyp = 3
/
ATOMIC_SPECIES
Li 6.94 Li.upf
Cr 52.00 Cr.upf
F 19.00 F.upf
ATOMIC_POSITIONS angstrom
Li 0.938 5.309 2.299
Cr 5.631 0.000 0.000
Cr 2.815 1.991 1.149
Li -2.815 1.991 8.046
Cr 4.692 2.654 6.896
F -4.509 6.883 5.815
F -3.269 6.007 7.977
Cr 1.877 2.654 4.598
Li 2.815 0.000 6.896
F 2.736 1.760 6.137
F 2.362 -1.949 3.384
Cr -2.815 5.972 3.448
Li 8.446 0.000 2.299
Li -4.692 5.309 6.896
Li 6.569 3.318 1.149
Cr -1.877 -2.654 4.598
F 4.883 6.898 0.326
Cr 3.754 5.309 0.000
Li 0.938 -0.664 3.448
F 8.255 3.720 0.326
F -0.755 4.794 7.651
F -2.362 4.058 4.602
F -1.130 -1.589 8.869
F 4.239 6.560 4.602
F -4.876 3.734 5.815
Cr -1.877 5.309 0.000
Cr 4.692 4.645 3.448
F 6.116 1.251 4.593
Cr 0.938 -2.654 6.896
F 8.255 6.386 1.213
F 1.122 -0.515 1.544
F 3.269 1.949 3.384
F -4.501 -1.077 7.982
F 2.632 5.824 7.651
F 1.018 3.549 3.058
Cr 0.000 0.000 0.000
F -1.122 6.369 4.924
F -0.747 4.797 1.540
F -0.485 -1.251 4.593
Cr 4.692 -3.318 8.046
F -1.130 1.077 7.982
Cr 6.569 -0.664 5.747
F 9.870 0.698 1.218
F 8.263 -1.575 3.380
Cr 3.754 -2.654 4.598
F -6.116 4.611 7.977
F -2.895 1.768 6.142
Li 4.692 0.664 3.448
F 6.490 1.780 0.005
F 1.392 7.257 5.811
F 7.023 -0.698 1.218
F 4.509 0.515 1.544
Li 2.815 5.972 5.747
F 0.755 1.060 4.271
F 8.630 1.575 3.380
F 2.624 5.821 1.540
F -2.736 -1.768 6.142
F 4.876 -1.060 4.271
Cr -0.938 8.627 1.149
Li 6.569 7.300 1.149
F 6.490 7.077 3.053
F -2.895 -3.528 9.190
Cr 2.815 7.963 2.299
Cr 0.938 3.318 8.046
F 0.859 7.069 3.058
Cr -0.938 2.654 2.299
F 0.485 3.360 5.811
Cr -3.754 2.654 4.598
F -2.736 3.528 9.190
F 6.648 3.541 3.053
F 2.895 -1.760 6.137
F 4.883 4.232 1.213
F 6.648 8.837 0.005
Li -2.815 -1.991 8.046
Li -0.938 4.645 5.747
F 1.130 -0.512 7.656
F 4.501 0.512 7.656
F 2.999 4.249 4.924
Cr -0.938 0.664 5.747
F -4.501 1.589 8.869
CELL_PARAMETERS angstrom
11.262 0.000 0.000
-3.754 10.618 0.000
-3.754 -5.309 9.195
```

---

Entry 10:
Density functional theory data (GGA+U) for LiCr2F5 after structural relaxation. Values from VASP.

Values from the calculation:
Its calculated total energy is -5.8653 eV/atom. The total moment is 1.00 μB/atom.

Quantum ESPRESSO input file:
```
&SYSTEM
  ibrav = 0, nat = 8, ntyp = 3
/
ATOMIC_SPECIES
Cr 52.00 Cr.upf
F 19.00 F.upf
Li 6.94 Li.upf
ATOMIC_POSITIONS angstrom
Cr 3.025 0.733 4.990
F 2.778 4.390 2.542
F 1.300 1.738 5.362
F 5.918 4.844 7.659
Cr 4.342 3.097 2.476
Li 2.806 5.002 6.177
F 4.225 3.814 5.804
F 3.180 1.625 3.196
CELL_PARAMETERS angstrom
4.605 0.203 2.605
2.705 4.848 0.768
0.176 0.310 5.594
```

---

Entry 11:
Density functional theory data (GGA+U) for Li2CrF6 after structural relaxation. Values from VASP.

Values from the calculation:
Its calculated total energy is -5.1762 eV/atom. The total moment is 0.22 μB/atom.

Quantum ESPRESSO input file:
```
&SYSTEM
  ibrav = 0, nat = 18, ntyp = 3
/
ATOMIC_SPECIES
F 19.00 F.upf
Li 6.94 Li.upf
Cr 52.00 Cr.upf
ATOMIC_POSITIONS angstrom
F -5.743 -0.419 -4.731
Li -3.007 -0.261 -0.085
F -1.457 1.967 -3.300
F -3.005 -0.182 -4.654
Li -1.401 -0.065 -3.339
Li -7.415 -0.586 -3.509
Cr -4.408 -0.325 -3.424
Cr 0.000 0.000 0.000
F -4.569 1.518 -3.392
F 0.126 0.093 -4.743
F -7.359 -2.617 -3.547
F -4.247 -2.169 -3.456
Li -5.984 -0.519 -0.169
F -3.073 -0.231 -2.116
F -1.105 -2.075 -3.370
F 0.049 0.036 -1.850
F -5.810 -0.469 -2.194
F -7.711 1.424 -3.477
CELL_PARAMETERS angstrom
-0.199 3.350 -3.240
0.374 -3.221 -3.353
-8.991 -0.780 -0.255
```

---

Entry 12:
Density functional theory data (GGA+U) for Li3CrF after structural relaxation. Values from VASP.

Values from the calculation:
For the excess energy over the best structure of this formula in the dataset, the calculation gives 0 meV per atom. The total moment is 1.16 μB/atom.

Quantum ESPRESSO input file:
```
&SYSTEM
  ibrav = 0, nat = 5, ntyp = 3
/
ATOMIC_SPECIES
F 19.00 F.upf
Li 6.94 Li.upf
Cr 52.00 Cr.upf
ATOMIC_POSITIONS angstrom
F 0.000 0.000 0.000
Li -1.602 0.511 -1.292
Li -0.231 -2.042 -0.522
Cr -3.203 -1.785 -0.215
Li -1.370 -0.254 1.599
CELL_PARAMETERS angstrom
-3.205 1.022 -2.583
-0.461 -4.085 -1.044
-2.740 -0.508 3.198
```

---

Entry 13:
Density functional theory data (GGA+U) for Li3CrF6 after structural relaxation. Values from VASP.

Values from the calculation:
For the excess energy over the best structure of this formula in the dataset, the calculation gives 162 meV per atom. The total moment is 0.30 μB/atom.

Quantum ESPRESSO input file:
```
&SYSTEM
  ibrav = 0, nat = 10, ntyp = 3
/
ATOMIC_SPECIES
F 19.00 F.upf
Li 6.94 Li.upf
Cr 52.00 Cr.upf
ATOMIC_POSITIONS angstrom
F 3.491 4.083 1.371
F 0.898 3.685 0.000
Li 2.466 0.118 2.551
Li 2.199 2.572 0.000
F -1.291 -1.510 3.731
F 3.501 1.459 0.000
F 1.291 1.510 3.731
F 0.908 1.062 1.371
Li -0.266 2.454 2.551
Cr 0.000 0.000 0.000
CELL_PARAMETERS angstrom
4.931 0.237 0.000
-0.533 4.908 0.000
-2.199 -2.572 5.102
```

---

Entry 14:
Density functional theory data (GGA+U) for Li3CrF6 after structural relaxation. Values from VASP.

Values from the calculation:
For the excess energy over the best structure of this formula in the dataset, the calculation gives 12 meV per atom. The total moment is 0.30 μB/atom.

Quantum ESPRESSO input file:
```
&SYSTEM
  ibrav = 0, nat = 20, ntyp = 3
/
ATOMIC_SPECIES
F 19.00 F.upf
Li 6.94 Li.upf
Cr 52.00 Cr.upf
ATOMIC_POSITIONS angstrom
F 4.188 0.454 5.458
Li 0.350 1.503 3.292
F 4.789 2.726 3.458
Li 4.475 2.705 5.499
F 1.716 5.583 0.319
Li 3.324 0.384 1.423
F 1.115 3.311 2.320
F 2.646 3.620 4.713
F 5.573 0.480 1.709
F 3.514 4.849 2.544
Li 2.580 5.653 4.355
F 0.439 1.840 5.535
F 5.465 4.197 0.242
Cr 2.952 3.018 2.889
F 3.258 2.416 1.064
F 0.331 5.557 4.068
Li 5.554 4.534 2.485
Cr 0.000 0.000 0.000
Li 1.429 3.332 0.279
F 2.391 1.188 3.234
CELL_PARAMETERS angstrom
6.014 0.012 -0.119
-0.121 6.013 -0.119
0.012 0.012 6.015
```

---

Entry 15:
Density functional theory data (GGA+U) for Li3CrF6 after structural relaxation. Values from VASP.

Values from the calculation:
For the excess energy over the best structure of this formula in the dataset, the calculation gives 38 meV per atom. The total moment is 0.30 μB/atom.

Quantum ESPRESSO input file:
```
&SYSTEM
  ibrav = 0, nat = 20, ntyp = 3
/
ATOMIC_SPECIES
Li 6.94 Li.upf
Cr 52.00 Cr.upf
F 19.00 F.upf
ATOMIC_POSITIONS angstrom
Li -1.985 -2.508 1.239
Cr -2.561 0.653 1.966
F -8.540 2.532 2.021
F -8.390 0.054 0.907
Li -3.586 2.601 -0.484
F -6.208 0.205 -1.126
Li -1.929 -1.345 -1.065
Li -4.094 0.225 -1.357
F -6.194 0.893 2.466
Li -5.064 2.469 1.628
F -6.340 2.734 0.120
F -3.863 -1.635 -0.680
F -3.618 -3.392 1.384
Cr -6.598 2.041 -1.694
F -1.611 -0.711 0.924
F -8.518 1.944 -1.308
F -3.857 1.081 0.559
F -3.695 -0.779 2.673
F -6.028 -1.808 1.121
Li -7.229 4.038 1.336
CELL_PARAMETERS angstrom
-2.436 -3.720 -1.938
-1.535 -1.295 4.415
-7.173 5.202 -0.967
```